Here is an optimized crystal structure of Ni3PtO from the Alexandria database. Energies are from GGA+U.

* DFT total energy: -0.1602 Ry per atom
* total magnetization: 3.68 Bohr magnetons per cell
* space-group type: No. 221

Cell: 4.7420 4.7420 4.7420 Å, 90.00 90.00 90.00°
Closest atoms and distances in Å follow each position.
Fractional positions:
Ni 0.0000 0.0000 0.5000  2 Pt 2.37
Ni 0.0000 0.5000 0.0000  2 Pt 2.37
Ni 0.5000 0.0000 0.0000  2 Pt 2.37
O 0.5000 0.5000 0.5000  12 Ni 3.35
Pt 0.0000 0.0000 0.0000  6 Ni 2.37